DFT (PBE) results for crystalline Nd2Pa2O7 at its relaxed geometry. Values from VASP.

```
&SYSTEM
  ibrav = 0, nat = 22, ntyp = 3
/
ATOMIC_SPECIES
Nd 144.24 Nd.upf
Pa 231.04 Pa.upf
O 16.00 O.upf
CELL_PARAMETERS angstrom
0.000 5.523 5.523
5.523 0.000 5.523
5.523 5.523 0.000
ATOMIC_POSITIONS crystal
Nd 0.000 0.000 0.000
Nd 0.000 0.000 0.500
Nd 0.000 0.500 0.000
Nd 0.500 0.000 0.000
Pa 0.000 0.500 0.500
Pa 0.500 0.000 0.500
Pa 0.500 0.500 0.000
Pa 0.500 0.500 0.500
O 0.125 0.125 0.125
O 0.147 0.147 0.603
O 0.147 0.603 0.147
O 0.147 0.603 0.603
O 0.397 0.397 0.853
O 0.397 0.853 0.397
O 0.397 0.853 0.853
O 0.603 0.147 0.147
O 0.603 0.147 0.603
O 0.603 0.603 0.147
O 0.853 0.397 0.397
O 0.853 0.397 0.853
O 0.853 0.853 0.397
O 0.875 0.875 0.875
```

Output
M_tot = 0.1 μB/f.u.
Calculated total energy = -9.246 eV per atom
Polymorph energy (0 for the lowest one) = 0 meV per atom
Formation energy (no corrections) = -3.498 eV/atom